# 1
Tm6SbP3S2 | PBE-GGA | relaxed

extended XYZ file:
```
12
Lattice="3.9799 0.0000 0.0000 0.0000 8.0015 0.2628 -1.9900 -2.3301 8.3805" Properties=species:S:1:pos:R:3 pbc="T T T"
Tm 0.0000 5.8400 5.7019
Tm 1.9899 3.9439 2.9244
Tm 1.9899 -0.1686 2.9413
Tm 1.9900 -0.1746 8.4383
Tm 0.0000 5.8460 0.2050
Tm 0.0000 1.7275 5.7188
Sb 1.9900 0.0000 0.0000
P 1.9900 4.0007 0.1314
P 1.9899 -0.2003 5.6458
P 0.0000 5.8717 2.9974
S 1.9900 3.7574 5.7119
S 0.0000 1.9140 2.9314
```

As for the density of states at the Fermi level: 3.70 states/eV/f.u. As for the total energy: -6.263 eV per atom. The symmetry is C2/m, No. 12. Its energy relative to the elements, uncorrected is -1.64 eV per atom.

***

# 2
VSbPS2 | PBE-GGA | relaxed

extended XYZ file:
```
5
Lattice="4.4554 0.0000 0.0000 0.0000 4.4554 0.0000 0.0000 0.0000 5.0062" Properties=species:S:1:pos:R:3 pbc="T T T"
Sb 2.2277 2.2277 2.5031
S 0.0000 2.2277 0.0000
S 2.2277 0.0000 0.0000
P 0.0000 0.0000 2.5031
V 0.0000 0.0000 0.0000
```

As for the density of states at the Fermi level: 3.82 states/eV/f.u. As for the total energy: -5.294 eV per atom. The symmetry is P4/mmm, No. 123. Its energy relative to the elements, uncorrected is 0.09 eV per atom. Its energy above the most stable polymorph in this dataset is 0.000 eV/atom.

***

# 3
VSbP2S | PBE-GGA | relaxed

extended XYZ file:
```
5
Lattice="4.7695 0.0000 0.0000 0.0000 4.7695 0.0000 0.0000 0.0000 4.3227" Properties=species:S:1:pos:R:3 pbc="T T T"
Sb 2.3848 2.3848 2.1614
S 0.0000 0.0000 2.1614
P 0.0000 2.3848 0.0000
P 2.3848 0.0000 0.0000
V 0.0000 0.0000 0.0000
```

As for the density of states at the Fermi level: 4.40 states/eV/f.u. As for the total energy: -5.388 eV per atom. The symmetry is P4/mmm, No. 123. Its energy relative to the elements, uncorrected is 0.25 eV per atom. Its energy above the most stable polymorph in this dataset is 0.000 eV/atom.

***

# 4
VSbPS2 | PBE-GGA | relaxed

extended XYZ file:
```
5
Lattice="-1.6016 3.5099 -3.0260 -1.8744 -3.4186 -2.9733 -4.3550 0.1907 2.5262" Properties=species:S:1:pos:R:3 pbc="T T T"
Sb 0.0000 0.0000 0.0000
S -0.9372 -1.7093 -1.4866
S -0.8008 1.7549 -1.5130
P -2.1775 0.0953 1.2631
V -3.9155 0.1410 -1.7365
```

As for the density of states at the Fermi level: 9.26 states/eV/f.u. As for the total energy: -4.237 eV per atom. The symmetry is P4/mmm, No. 123. Its energy relative to the elements, uncorrected is 1.14 eV per atom. Its energy above the most stable polymorph in this dataset is 1.056 eV/atom.

***

# 5
VSbP2S | PBE-GGA | relaxed

extended XYZ file:
```
5
Lattice="-0.5827 -0.1423 4.9345 0.5451 -4.9403 -0.0781 4.8221 0.5228 0.5844" Properties=species:S:1:pos:R:3 pbc="T T T"
Sb 0.0000 0.0000 0.0000
S 2.4110 0.2614 0.2922
P 0.2726 -2.4701 -0.0391
P -0.2913 -0.0712 2.4673
V 2.3923 -2.2799 2.7204
```

As for the density of states at the Fermi level: 8.64 states/eV/f.u. As for the total energy: -4.257 eV per atom. The symmetry is P4/mmm, No. 123. Its energy relative to the elements, uncorrected is 1.38 eV per atom. Its energy above the most stable polymorph in this dataset is 1.131 eV/atom.

***

# 6
SbPWS2 | PBE-GGA | relaxed

extended XYZ file:
```
5
Lattice="4.5942 0.0000 0.0000 0.0000 4.5942 0.0000 0.0000 0.0000 5.0306" Properties=species:S:1:pos:R:3 pbc="T T T"
Sb 2.2971 2.2971 2.5153
S 0.0000 2.2971 0.0000
S 2.2971 0.0000 0.0000
W 0.0000 0.0000 0.0000
P 0.0000 0.0000 2.5153
```

As for the density of states at the Fermi level: 5.30 states/eV/f.u. As for the total energy: -5.816 eV per atom. The symmetry is P4/mmm, No. 123. Its energy relative to the elements, uncorrected is 0.33 eV per atom. Its energy above the most stable polymorph in this dataset is 0.000 eV/atom.

***

# 7
SbPWS2 | PBE-GGA | relaxed

extended XYZ file:
```
5
Lattice="4.8624 0.0000 0.0000 0.0000 4.8624 0.0000 0.0000 0.0000 5.0398" Properties=species:S:1:pos:R:3 pbc="T T T"
Sb 0.0000 0.0000 0.0000
S 0.0000 2.4312 0.0000
S 2.4312 0.0000 0.0000
W 2.4312 2.4312 2.5199
P 0.0000 0.0000 2.5199
```

As for the density of states at the Fermi level: 3.73 states/eV/f.u. As for the total energy: -4.570 eV per atom. The symmetry is P4/mmm, No. 123. Its energy relative to the elements, uncorrected is 1.58 eV per atom. Its energy above the most stable polymorph in this dataset is 1.246 eV/atom.

***

# 8
YSbPS2 | PBE-GGA | relaxed

extended XYZ file:
```
5
Lattice="4.9232 0.0000 0.0000 0.0000 4.9232 0.0000 0.0000 0.0000 5.0573" Properties=species:S:1:pos:R:3 pbc="T T T"
Y 2.4616 2.4616 2.5287
Sb 0.0000 0.0000 0.0000
S 0.0000 2.4616 0.0000
S 2.4616 0.0000 0.0000
P 0.0000 0.0000 2.5287
```

As for the density of states at the Fermi level: 1.84 states/eV/f.u. As for the total energy: -4.994 eV per atom. The symmetry is P4/mmm, No. 123. Its energy relative to the elements, uncorrected is -0.14 eV per atom. Its energy above the most stable polymorph in this dataset is 0.000 eV/atom.

***

The records above give, respectively, magnetic moment values of 0.00; 0.68; 0.00; 0.13; 0.20; 0.22; 2.90; 0.00 μB/f.u..